1.
Density functional theory data (GGA-PBE) for a relaxed Tl3Sn2F7 crystal.

Results
E_form (uncorrected) in eV/atom: -1.96

abc: 4.511 26.626 4.452
angles: 90.00 90.00 90.00
Space group Cmmm (No. 65)
Inequivalent atoms, fractional coordinates:
Tl 0.000 0.000 0.000 x2
Tl 0.000 0.197 0.000 x4
Sn 0.000 0.389 0.500 x4
F 0.000 0.130 0.500 x4
F 0.000 0.308 0.500 x4
F 0.000 0.369 0.000 x4
F 0.000 0.500 0.500 x2



2.
Density functional theory data (GGA-PBE) for a relaxed PrGdCd crystal.

Results
E_form in eV/atom: -0.091
Offset from the most stable computed form in eV per atom: 0.122

abc: 5.3552 5.3552 3.6237
angles: 90.00 90.00 120.00
Space group P3m1 (No. 156)
Inequivalent atoms, fractional coordinates:
Pr 0.0000 0.0000 0.0000 x1
Gd 0.3333 0.6667 0.5752 x1
Cd 0.6667 0.3333 0.3224 x1



3.
Density functional theory data (GGA-PBE) for a relaxed SrSiGeW2 crystal.

Results
E_form (uncorrected) in eV/atom: 1.35

abc: 4.768 4.768 5.103
angles: 90.00 90.00 90.00
Space group P4/mmm (No. 123)
Inequivalent atoms, fractional coordinates:
Sr 0.000 0.000 0.000 x1
Si 0.500 0.500 0.000 x1
Ge 0.500 0.500 0.500 x1
W 0.000 0.500 0.500 x2



4.
Density functional theory data (GGA-PBE) for a relaxed NaSbPd6 crystal.

Results
E_form (uncorrected) in eV/atom: 0.07

abc: 5.4687 5.4687 20.1673
angles: 90.00 90.00 120.00
Space group R-3m (No. 166, hexagonal axes)
Inequivalent atoms, fractional coordinates:
Na 0.0000 0.0000 0.0000 x3
Sb 0.0000 0.0000 0.5000 x3
Pd 0.0076 0.5038 0.9336 x18



5.
Density functional theory data (GGA-PBE) for a relaxed Tm5Co2Ag crystal.

Results
E_form in eV/atom: -0.270

abc: 7.442 7.442 13.073
angles: 90.00 90.00 90.00
Space group I4/mcm (No. 140)
Inequivalent atoms, fractional coordinates:
Tm 0.000 0.000 0.000 x4
Tm 0.160 0.340 0.134 x16
Co 0.137 0.363 0.500 x8
Ag 0.000 0.000 0.250 x4



6.
Density functional theory data (GGA-PBE) for a relaxed K2ThInTe5 crystal.

Results
E_form (uncorrected) in eV/atom: -0.83

abc: 4.360 21.621 15.458
angles: 90.00 90.00 90.00
Space group Cmc2_1 (No. 36)
Inequivalent atoms, fractional coordinates:
K 0.000 0.126 0.000 x4
K 0.000 0.130 0.634 x4
Th 0.000 0.207 0.334 x4
In 0.000 0.439 0.736 x4
Te 0.000 0.054 0.354 x4
Te 0.000 0.299 0.974 x4
Te 0.000 0.308 0.684 x4
Te 0.000 0.348 0.318 x4
Te 0.000 0.500 0.080 x4



7.
Density functional theory data (GGA-PBE) for a relaxed Be11Os3 crystal.

Results
E_form in eV/atom: -0.199

abc: 3.446 7.412 9.877
angles: 90.00 90.00 90.00
Space group Immm (No. 71)
Inequivalent atoms, fractional coordinates:
Be 0.000 0.000 0.000 x2
Be 0.000 0.134 0.344 x8
Be 0.000 0.225 0.143 x8
Be 0.000 0.324 0.500 x4
Os 0.000 0.500 0.000 x2
Os 0.000 0.500 0.297 x4



8.
Density functional theory data (GGA-PBE) for a relaxed Ta2Zn2Ni15 crystal.

Results
E_form in eV/atom: 0.116

abc: 7.3409 7.3409 15.2584
angles: 90.00 90.00 120.00
Space group R-3m (No. 166, hexagonal axes)
Inequivalent atoms, fractional coordinates:
Ta 0.0000 0.0000 0.2108 x6
Zn 0.0000 0.0000 0.4123 x6
Ni 0.0000 0.3067 0.5000 x18
Ni 0.0000 0.5000 0.0000 x9
Ni 0.0892 0.5446 0.6117 x18



9.
Density functional theory data (GGA-PBE) for a relaxed TcMo2Pb crystal.

Results
E_form in eV/atom: 0.567

abc: 3.1070 3.1070 26.2805
angles: 90.00 90.00 120.00
Space group R3m (No. 160, hexagonal axes)
Inequivalent atoms, fractional coordinates:
Tc 0.0000 0.0000 0.0000 x3
Mo 0.0000 0.0000 0.2609 x3
Mo 0.0000 0.0000 0.5217 x3
Pb 0.0000 0.0000 0.7590 x3



10.
Density functional theory data (GGA-PBE) for a relaxed SrNbGa2Pt crystal.

Results
E_form in eV/atom: -0.087

abc: 5.102 5.102 4.943
angles: 90.00 90.00 90.00
Space group P4/mmm (No. 123)
Inequivalent atoms, fractional coordinates:
Sr 0.000 0.000 0.000 x1
Nb 0.500 0.500 0.500 x1
Ga 0.000 0.500 0.500 x2
Pt 0.500 0.500 0.000 x1



11.
Density functional theory data (GGA-PBE) for a relaxed Sr3ZrAs crystal.

Results
E_form in eV/atom: 0.879
Offset from the most stable computed form in eV per atom: 0.780

abc: 5.874 5.874 5.874
angles: 90.00 90.00 90.00
Space group Pm-3m (No. 221)
Inequivalent atoms, fractional coordinates:
Sr 0.000 0.000 0.500 x3
Zr 0.000 0.000 0.000 x1
As 0.500 0.500 0.500 x1



12.
Density functional theory data (GGA-PBE) for a relaxed Ta2FeTcH crystal.

Results
Offset from the most stable computed form in eV per atom: 0.000

abc: 4.360 4.360 3.330
angles: 90.00 90.00 90.00
Space group P4/mmm (No. 123)
Inequivalent atoms, fractional coordinates:
Ta 0.000 0.500 0.000 x2
Fe 0.000 0.000 0.500 x1
Tc 0.500 0.500 0.500 x1
H 0.000 0.000 0.000 x1